Material: Cs2HgWF6
Method: DFT, GGA+U
State: optimized geometry

```
data_Cs2HgWF6
_chemical_formula_sum 'Cs4 Hg2 W2 F12'
_symmetry_space_group_name_H-M 'I 4/m m m'
_symmetry_Int_Tables_number 139
_symmetry_space_group_name_Hall '-I 4 2'
_cell_length_a 7.0645
_cell_length_b 7.0645
_cell_length_c 10.1920
_cell_angle_alpha 90.00
_cell_angle_beta 90.00
_cell_angle_gamma 90.00
loop_
_atom_site_label
_atom_site_fract_x
_atom_site_fract_y
_atom_site_fract_z
Cs1 0.0000 0.5000 0.2500
Hg1 0.0000 0.0000 0.0000
W1 0.0000 0.0000 0.5000
F1 0.0000 0.0000 0.2978
F2 0.2000 0.2000 0.5000
```

## Properties
Size of the total moment = 4.00 μB per cell
Raw total energy = -4.559 eV per atom